# 1
Ga2ReI after structural relaxation, computed with PBE-GGA.

Cell lengths 6.7023, 6.7023, 6.7023 Å; angles 90.00, 90.00, 90.00 degrees
Last column: nearest neighbours and their distance in Å.
Positions (direct):
1 Ga 0.2500 0.2500 0.2500  4 Re 2.90, 4 I 2.90
2 Ga 0.2500 0.2500 0.7500  4 Re 2.90, 4 I 2.90
3 Ga 0.2500 0.7500 0.2500  4 Re 2.90, 4 I 2.90
4 Ga 0.2500 0.7500 0.7500  4 Re 2.90, 4 I 2.90
5 Ga 0.7500 0.2500 0.2500  4 Re 2.90, 4 I 2.90
6 Ga 0.7500 0.2500 0.7500  4 Re 2.90, 4 I 2.90
7 Ga 0.7500 0.7500 0.2500  4 Re 2.90, 4 I 2.90
8 Ga 0.7500 0.7500 0.7500  4 I 2.90, 4 Re 2.90
9 Re 0.0000 0.0000 0.0000  8 Ga 2.90
10 Re 0.0000 0.5000 0.5000  8 Ga 2.90
11 Re 0.5000 0.0000 0.5000  8 Ga 2.90
12 Re 0.5000 0.5000 0.0000  8 Ga 2.90
13 I 0.0000 0.0000 0.5000  8 Ga 2.90
14 I 0.0000 0.5000 0.0000  8 Ga 2.90
15 I 0.5000 0.0000 0.0000  8 Ga 2.90
16 I 0.5000 0.5000 0.5000  8 Ga 2.90

Computed properties:
Electronic total energy ... -3.886 eV/atom



# 2
Co3AsH after structural relaxation, computed with PBE-GGA.

Cell lengths 6.2660, 6.2660, 6.6415 Å; angles 97.09, 97.09, 24.64 degrees
Last column: nearest neighbours and their distance in Å.
Positions (direct):
1 Co 0.0033 0.0033 0.1736  2 H 1.84
2 Co 0.1813 0.1813 0.3744  2 H 1.82
3 Co 0.3471 0.3471 0.9682  1 H 2.19
4 Co 0.6529 0.6529 0.0318  1 H 2.19
5 Co 0.8187 0.8187 0.6256  2 H 1.82
6 Co 0.9967 0.9967 0.8264  2 H 1.84
7 As 0.1734 0.1734 0.7272  7 Co 2.34-2.50
8 As 0.8266 0.8266 0.2728  7 Co 2.34-2.50
9 H 0.4190 0.4190 0.6821  4 Co 1.82-1.84
10 H 0.5810 0.5810 0.3179  4 Co 1.82-1.84

Computed properties:
Electronic total energy ... -5.819 eV/atom



# 3
AsSI2 after structural relaxation, computed with PBE-GGA.

Cell lengths 7.3501, 7.3501, 7.3501 Å; angles 90.00, 90.00, 90.00 degrees
Last column: nearest neighbours and their distance in Å.
Positions (direct):
1 As 0.0000 0.0000 0.0000  8 I 3.18
2 As 0.0000 0.5000 0.5000  8 I 3.18
3 As 0.5000 0.0000 0.5000  8 I 3.18
4 As 0.5000 0.5000 0.0000  8 I 3.18
5 S 0.0000 0.0000 0.5000  8 I 3.18
6 S 0.0000 0.5000 0.0000  8 I 3.18
7 S 0.5000 0.0000 0.0000  8 I 3.18
8 S 0.5000 0.5000 0.5000  8 I 3.18
9 I 0.2500 0.2500 0.2500  4 As 3.18, 4 S 3.18
10 I 0.2500 0.2500 0.7500  4 S 3.18, 4 As 3.18
11 I 0.2500 0.7500 0.2500  4 S 3.18, 4 As 3.18
12 I 0.2500 0.7500 0.7500  4 As 3.18, 4 S 3.18
13 I 0.7500 0.2500 0.2500  4 S 3.18, 4 As 3.18
14 I 0.7500 0.2500 0.7500  4 As 3.18, 4 S 3.18
15 I 0.7500 0.7500 0.2500  4 As 3.18, 4 S 3.18
16 I 0.7500 0.7500 0.7500  4 S 3.18, 4 As 3.18

Computed properties:
Electronic total energy ... -2.205 eV/atom



# 4
Ce3Nd4PuS8 after structural relaxation, computed with PBE-GGA.

Cell lengths 8.0672, 8.0672, 8.0672 Å; angles 60.15, 60.15, 60.15 degrees
Last column: nearest neighbours and their distance in Å.
Positions (direct):
1 Ce 0.0000 0.5000 0.5000  6 S 2.84
2 Ce 0.5000 0.0000 0.5000  6 S 2.84
3 Ce 0.5000 0.5000 0.0000  6 S 2.84
4 Nd 0.0000 0.0000 0.5000  6 S 2.87
5 Nd 0.0000 0.5000 0.0000  6 S 2.87
6 Nd 0.5000 0.0000 0.0000  6 S 2.87
7 Nd 0.5000 0.5000 0.5000  6 S 2.89
8 Pu 0.0000 0.0000 0.0000  6 S 2.82
9 S 0.2469 0.2469 0.7504  1 Pu 2.82, 2 Ce 2.84, 3 Nd 2.87-2.89
10 S 0.2469 0.7504 0.2469  1 Pu 2.82, 2 Ce 2.84, 3 Nd 2.87-2.89
11 S 0.2496 0.7531 0.7531  1 Pu 2.82, 2 Ce 2.84, 3 Nd 2.87-2.89
12 S 0.2511 0.2511 0.2511  3 Ce 2.84, 3 Nd 2.87
13 S 0.7489 0.7489 0.7489  3 Ce 2.84, 3 Nd 2.87
14 S 0.7504 0.2469 0.2469  1 Pu 2.82, 2 Ce 2.84, 3 Nd 2.87-2.89
15 S 0.7531 0.2496 0.7531  1 Pu 2.82, 2 Ce 2.84, 3 Nd 2.87-2.89
16 S 0.7531 0.7531 0.2496  1 Pu 2.82, 2 Ce 2.84, 3 Nd 2.87-2.89

Computed properties:
Electronic total energy ... -7.271 eV/atom



# 5
Ba2CaInN after structural relaxation, computed with PBE-GGA.

Cell lengths 5.7908, 5.7908, 4.8038 Å; angles 90.00, 90.00, 90.00 degrees
Last column: nearest neighbours and their distance in Å.
Positions (direct):
1 Ba 0.0000 0.5000 0.0000  2 N 2.90
2 Ba 0.5000 0.0000 0.0000  2 N 2.90
3 Ca 0.0000 0.0000 0.5000  2 N 2.40
4 In 0.5000 0.5000 0.5000  8 Ba 3.76, 4 Ca 4.09
5 N 0.0000 0.0000 0.0000  2 Ca 2.40

Computed properties:
Electronic total energy ... -3.793 eV/atom



# 6
Rb3CeB2O6 after structural relaxation, computed with PBE-GGA.

Cell lengths 5.7699, 5.7699, 7.3475 Å; angles 90.00, 90.00, 120.00 degrees
Last column: nearest neighbours and their distance in Å.
Positions (direct):
1 Rb 0.0000 0.0000 0.0000  6 O 2.97
2 Rb 0.3333 0.6667 0.7452  6 O 2.92, 1 B 3.23
3 Rb 0.6667 0.3333 0.2548  6 O 2.92, 1 B 3.23
4 Ce 0.0000 0.0000 0.5000  6 O 2.40
5 B 0.3333 0.6667 0.3054  3 O 1.40
6 B 0.6667 0.3333 0.6946  3 O 1.40
7 O 0.1933 0.3865 0.3064  1 B 1.40
8 O 0.1933 0.8067 0.3064  1 B 1.40
9 O 0.3865 0.1933 0.6936  1 B 1.40
10 O 0.6135 0.8067 0.3064  1 B 1.40
11 O 0.8067 0.1933 0.6936  1 B 1.40
12 O 0.8067 0.6135 0.6936  1 B 1.40

Computed properties:
Electronic total energy ... -6.721 eV/atom



# 7
MgTl2In after structural relaxation, computed with PBE-GGA.

Cell lengths 4.7864, 4.7864, 9.5154 Å; angles 90.00, 90.00, 90.00 degrees
Last column: nearest neighbours and their distance in Å.
Positions (direct):
1 Mg 0.2500 0.7500 0.0000  4 In 3.19, 4 Tl 3.21, 4 Mg 3.38
2 Mg 0.7500 0.2500 0.0000  4 In 3.19, 4 Tl 3.21, 4 Mg 3.38
3 Tl 0.2500 0.2500 0.2246  4 Mg 3.21, 4 In 3.38, 4 Tl 3.55
4 Tl 0.2500 0.7500 0.5000  8 Tl 3.38-3.55, 4 In 3.57
5 Tl 0.7500 0.2500 0.5000  8 Tl 3.38-3.55, 4 In 3.57
6 Tl 0.7500 0.7500 0.7754  4 Mg 3.21, 4 In 3.38, 4 Tl 3.55
7 In 0.2500 0.2500 0.7778  4 Mg 3.19, 8 Tl 3.38-3.57
8 In 0.7500 0.7500 0.2222  4 Mg 3.19, 8 Tl 3.38-3.57

Computed properties:
ΔE_f ... -0.018 eV per atom